Material: TmPaInTc
Method: DFT, PBE
State: optimized geometry

Geometry as CIF:
```
data_TmPaInTc
_chemical_formula_sum 'Tm1 Pa1 In1 Tc1'
_cell_length_a 3.341
_cell_length_b 3.341
_cell_length_c 8.280
_cell_angle_alpha 90.00
_cell_angle_beta 90.00
_cell_angle_gamma 90.00
_symmetry_space_group_name_H-M 'P 4 m m'
_symmetry_Int_Tables_number 99
_symmetry_space_group_name_Hall 'P 4 -2'
loop_
_atom_site_label
_atom_site_type_symbol
_atom_site_fract_x
_atom_site_fract_y
_atom_site_fract_z
_atom_site_occupancy
Tm1 Tm 0.000 0.000 0.000 1
Pa1 Pa 0.000 0.000 0.586 1
In1 In 0.500 0.500 0.286 1
Tc1 Tc 0.500 0.500 0.784 1
```

- VASP energy: -0.5193 Ry per atom
- Volume: 92 Å³/f.u.